Tb6Sm12Tl: relaxed, PBE.

```
Tb6Sm12Tl
1.0
5.9972 3.4625 5.0694
-5.9972 3.4625 5.0694
0.0000 -6.9249 5.0694
Tb Sm Tl
6 12 1
direct
0.2072 0.5974 0.7566
0.2434 0.7928 0.4026
0.4026 0.2434 0.7928
0.5974 0.7566 0.2072
0.7566 0.2072 0.5974
0.7928 0.4026 0.2434
0.0386 0.2821 0.9318
0.0682 0.9614 0.7179
0.1377 0.3159 0.4857
0.2821 0.9318 0.0386
0.3159 0.4857 0.1377
0.4857 0.1377 0.3159
0.5143 0.8623 0.6841
0.6841 0.5143 0.8623
0.7179 0.0682 0.9614
0.8623 0.6841 0.5143
0.9318 0.0386 0.2821
0.9614 0.7179 0.0682
0.5000 0.5000 0.5000
```

Results
Calculated total energy (eV/atom): -4.49
Energy of formation from the pure elements (eV per atom): 0.081